No. 1
The following is a DFT calculation (PBE) of crystalline TcAu at its relaxed geometry.

POSCAR file:
```
TcAu
1.0
3.1896 0.0000 0.0000
0.0000 3.1896 0.0000
0.0000 0.0000 3.1896
Au Tc
1 1
Cartesian
0.0000 0.0000 0.0000
1.5948 1.5948 1.5948
```

Calculated formation energy = 0.6194 eV per atom
Excess energy over the best structure of this formula in the dataset = 0.5391 eV/atom
Total DFT energy (no corrections) = -12.4 eV for the cell shown
V = 32.4 Å³/cell
Symmetry = Pm-3m (221)

---

No. 2
The following is a DFT calculation (PBE) of crystalline Sr2HfPb at its relaxed geometry.

POSCAR file:
```
Sr2HfPb
1.0
-4.3569 -4.2910 -6.9549
-4.6618 -5.1684 6.1091
-6.8672 -2.4902 -0.3275
Pb Sr Hf
2 4 2
Cartesian
0.0000 0.0000 0.0000
-7.8667 -5.7555 -3.8526
-5.1034 -4.0300 -3.7940
-5.0943 -4.3096 2.9959
-8.4460 -5.3191 -0.6760
-13.1282 -10.2404 -0.8724
-4.5093 -4.7297 -0.4229
-8.0192 -6.1941 2.6794
```

Calculated formation energy = 0.5385 eV per atom
Total DFT energy (no corrections) = -29.7 eV for the cell shown
V = 279.0 Å³/cell
Symmetry = I-42d (122)

---

V of number 2 (Sr2HfPb)? 279.0 Å³/cell

---

Look up the total DFT energy (no corrections) of the second one. -29.7 eV for the cell shown

---

The highest total DFT energy (no corrections) belongs to which entry? TcAu